Computed, not measured: an optimized crystal structure of Sc4PdRh2Au at the GGA-PBE level of DFT.

a b c (Å): 4.6650 4.6650 8.0666
angles (deg): 73.19 73.19 60.00
Closest atoms and distances in Å follow each position.
Atoms (fractional coordinates):
Au (0.0000, 0.0000, 0.0000)  8 Sc 2.87-2.89
Pd (0.5000, 0.5000, 0.5000)  8 Sc 2.81-2.84
Sc (0.3767, 0.3767, 0.8698)  1 Pd 2.81, 4 Rh 2.85-2.91, 3 Au 2.87
Sc (0.6233, 0.6233, 0.1302)  1 Pd 2.81, 4 Rh 2.85-2.91, 3 Au 2.87
Sc (0.8734, 0.8734, 0.3797)  4 Rh 2.80-2.86, 3 Pd 2.84, 1 Au 2.89
Sc (0.1266, 0.1266, 0.6203)  4 Rh 2.80-2.86, 3 Pd 2.84, 1 Au 2.89
Rh (0.2492, 0.2492, 0.2523)  8 Sc 2.80-2.91
Rh (0.7508, 0.7508, 0.7477)  8 Sc 2.80-2.91

Values from the calculation:
**Energy relative to the elements**: -0.902 eV/atom